# 1
Computed, not measured: crystalline AcTbHg at its relaxed geometry at the PBE level of DFT.

```
data_AcTbHg
_chemical_formula_sum 'Ac2 Tb2 Hg2'
_space_group_name_H-M_alt 'P 4/n m m'
_space_group_IT_number 129
_cell_length_a 5.0326
_cell_length_b 5.0326
_cell_length_c 7.9638
_cell_angle_alpha 90.00
_cell_angle_beta 90.00
_cell_angle_gamma 90.00
loop_
_space_group_symop_operation_xyz
'x,y,z'
'-x,-y,-z'
'-y+1/2,x,z'
'y+1/2,-x,-z'
'-x+1/2,-y+1/2,z'
'x+1/2,y+1/2,-z'
'y,-x+1/2,z'
'-y,x+1/2,-z'
'x+1/2,-y,-z'
'-x+1/2,y,z'
'-y,-x,-z'
'y,x,z'
'-x,y+1/2,-z'
'x,-y+1/2,z'
'y+1/2,x+1/2,-z'
'-y+1/2,-x+1/2,z'
loop_
_atom_site_label
_atom_site_type_symbol
_atom_site_fract_x
_atom_site_fract_y
_atom_site_fract_z
_atom_site_occupancy
Ac1 Ac 0.2500 0.2500 0.1334 1
Tb1 Tb 0.2500 0.7500 0.5000 1
Hg1 Hg 0.2500 0.2500 0.7313 1
```

## Properties
Raw total energy: -3.34 eV per atom
Density: 9.66 Mg/m³



# 2
Computed, not measured: crystalline Nd2CdIr9 at its relaxed geometry at the PBE level of DFT.

```
data_Nd2CdIr9
_chemical_formula_sum 'Nd6 Cd3 Ir27'
_space_group_name_H-M_alt 'R -3 m'
_space_group_IT_number 166
_space_group_name_Hall '-R 3 2"'
_cell_length_a 5.3184
_cell_length_b 5.3184
_cell_length_c 26.7302
_cell_angle_alpha 90.00
_cell_angle_beta 90.00
_cell_angle_gamma 120.00
loop_
_atom_site_label
_atom_site_type_symbol
_atom_site_fract_x
_atom_site_fract_y
_atom_site_fract_z
_atom_site_occupancy
Nd1 Nd 0.0000 0.0000 0.1370 1
Cd1 Cd 0.0000 0.0000 0.0000 1
Ir1 Ir 0.0000 0.0000 0.3326 1
Ir2 Ir 0.0000 0.0000 0.5000 1
Ir3 Ir 0.0019 0.5010 0.0811 1
```

## Properties
Raw total energy: -7.73 eV per atom
Density: 16.21 Mg/m³



# 3
Computed, not measured: crystalline SrCBr2 at its relaxed geometry at the PBE level of DFT.

```
data_SrCBr2
_chemical_formula_sum 'Sr3 C3 Br6'
_space_group_name_H-M_alt 'R -3 m'
_space_group_IT_number 166
_space_group_name_Hall '-R 3 2"'
_cell_length_a 4.2363
_cell_length_b 4.2363
_cell_length_c 25.0900
_cell_angle_alpha 90.00
_cell_angle_beta 90.00
_cell_angle_gamma 120.00
loop_
_atom_site_label
_atom_site_type_symbol
_atom_site_fract_x
_atom_site_fract_y
_atom_site_fract_z
_atom_site_occupancy
Sr1 Sr 0.0000 0.0000 0.0000 1
C1 C 0.0000 0.0000 0.5000 1
Br1 Br 0.0000 0.0000 0.1173 1
```

## Properties
Raw total energy: -2.56 eV per atom
Density: 3.31 Mg/m³



# 4
Computed, not measured: crystalline Li3Ce3GaSe8 at its relaxed geometry at the PBE level of DFT.

```
data_Li3Ce3GaSe8
_chemical_formula_sum 'Li9 Ce9 Ga3 Se24'
_space_group_name_H-M_alt 'R -3 m'
_space_group_IT_number 166
_space_group_name_Hall '-R 3 2"'
_cell_length_a 8.2681
_cell_length_b 8.2681
_cell_length_c 19.2204
_cell_angle_alpha 90.00
_cell_angle_beta 90.00
_cell_angle_gamma 120.00
loop_
_atom_site_label
_atom_site_type_symbol
_atom_site_fract_x
_atom_site_fract_y
_atom_site_fract_z
_atom_site_occupancy
Li1 Li 0.0000 0.5000 0.0000 1
Ce1 Ce 0.0000 0.5000 0.5000 1
Ga1 Ga 0.0000 0.0000 0.5000 1
Se1 Se 0.0000 0.0000 0.2537 1
Se2 Se 0.0232 0.5116 0.2475 1
```

## Properties
Raw total energy: -4.99 eV per atom
Density: 5.00 Mg/m³



Q: Which of these has the lowest raw total energy?
A: Nd2CdIr9



Copy entry 4 word for word.
Computed, not measured: crystalline Li3Ce3GaSe8 at its relaxed geometry at the PBE level of DFT.

```
data_Li3Ce3GaSe8
_chemical_formula_sum 'Li9 Ce9 Ga3 Se24'
_space_group_name_H-M_alt 'R -3 m'
_space_group_IT_number 166
_space_group_name_Hall '-R 3 2"'
_cell_length_a 8.2681
_cell_length_b 8.2681
_cell_length_c 19.2204
_cell_angle_alpha 90.00
_cell_angle_beta 90.00
_cell_angle_gamma 120.00
loop_
_atom_site_label
_atom_site_type_symbol
_atom_site_fract_x
_atom_site_fract_y
_atom_site_fract_z
_atom_site_occupancy
Li1 Li 0.0000 0.5000 0.0000 1
Ce1 Ce 0.0000 0.5000 0.5000 1
Ga1 Ga 0.0000 0.0000 0.5000 1
Se1 Se 0.0000 0.0000 0.2537 1
Se2 Se 0.0232 0.5116 0.2475 1
```

## Properties
Raw total energy: -4.99 eV per atom
Density: 5.00 Mg/m³